Entry 1:
Crystalline Nd3Ho3PuS8 at its relaxed geometry, computed with PBE.

Computed properties:
**Crystal system**: trigonal
**E_form (uncorrected)**: -29.9 eV/f.u.
**Magnetic moment**: 0.412 μB per atom

Lattice parameters (Å, degrees): 7.9079 7.9079 19.6417 90.00 90.00 120.00
Space group R-3m (No. 166, hexagonal axes)
Unique sites:
Nd 0.0000 0.5000 0.0000 x9
Ho 0.0000 0.5000 0.5000 x9
Pu 0.0000 0.0000 0.5000 x3
S 0.0000 0.0000 0.2447 x6
S 0.0073 0.5037 0.7536 x18


Entry 2:
Crystalline Be2IrW2 at its relaxed geometry, computed with PBE.

Computed properties:
**Crystal system**: tetragonal
**E above lowest polymorph**: 365 meV/atom
**Magnetic moment**: 0.000 μB per atom
**Energy of formation from the pure elements**: 156.6 meV/atom

Lattice parameters (Å, degrees): 2.816 2.816 16.199 90.00 90.00 90.00
Space group I4/mmm (No. 139)
Unique sites:
Be 0.000 0.500 0.250 x4
Ir 0.000 0.000 0.000 x2
W 0.000 0.000 0.381 x4


Entry 3:
Crystalline CoTeSe2N at its relaxed geometry, computed with PBE.

Computed properties:
**Crystal system**: tetragonal
**E_form (uncorrected)**: 6.6 eV/f.u.
**E above lowest polymorph**: 931 meV/atom
**Magnetic moment**: 0.557 μB per atom

Lattice parameters (Å, degrees): 5.374 5.374 3.897 90.00 90.00 90.00
Space group P4/mmm (No. 123)
Unique sites:
Co 0.000 0.000 0.000 x1
Te 0.500 0.500 0.500 x1
Se 0.000 0.500 0.500 x2
N 0.500 0.500 0.000 x1